i | Below is an optimized crystal structure of Li2Ag8Pd3, with properties calculated at the GGA-PBE level.

Computed properties:
**Calculated density**: 8.53 g cm⁻³
**Magnetic moment**: 0.000 μB per atom

Cell lengths 7.1635, 7.1635, 5.0679 Å; angles 95.43, 95.43, 64.31 degrees
Last column: nearest neighbours and their distance in Å.
Fractional coordinates of all 13 atoms:
Li (0.1854, 0.1854, 0.2704)  3 Ag 2.48-2.68, 1 Pd 2.50
Li (0.8146, 0.8146, 0.7296)  3 Ag 2.48-2.68, 1 Pd 2.50
Ag (0.1925, 0.1925, 0.7615)  2 Li 2.48-2.59, 1 Pd 2.75, 1 Ag 2.77
Ag (0.1967, 0.5652, 0.0227)  6 Ag 2.81-2.95, 2 Pd 2.82-2.87, 2 Li 2.90-3.14
Ag (0.3897, 0.3897, 0.5356)  1 Li 2.68, 6 Ag 2.74-2.95, 2 Pd 2.81
Ag (0.4348, 0.8033, 0.9773)  6 Ag 2.81-2.95, 2 Pd 2.82-2.87, 2 Li 2.90-3.14
Ag (0.5652, 0.1967, 0.0227)  6 Ag 2.81-2.95, 2 Pd 2.82-2.87, 2 Li 2.90-3.14
Ag (0.6103, 0.6103, 0.4644)  1 Li 2.68, 6 Ag 2.74-2.95, 2 Pd 2.81
Ag (0.8033, 0.4348, 0.9773)  6 Ag 2.81-2.95, 2 Pd 2.82-2.87, 2 Li 2.90-3.14
Ag (0.8075, 0.8075, 0.2385)  2 Li 2.48-2.59, 1 Pd 2.75, 1 Ag 2.77
Pd (0.0000, 0.0000, 0.0000)  2 Li 2.50, 2 Ag 2.75
Pd (0.1776, 0.8224, 0.5000)  3 Pd 2.71-2.87, 6 Ag 2.81-2.89, 2 Li 2.97
Pd (0.8224, 0.1776, 0.5000)  3 Pd 2.71-2.87, 6 Ag 2.81-2.89, 2 Li 2.97



ii | Below is an optimized crystal structure of Li2Ag8Pd3, with properties calculated at the GGA-PBE level.

Computed properties:
**Calculated density**: 9.06 g cm⁻³
**Magnetic moment**: 0.000 μB per atom

Cell lengths 5.5849, 4.3732, 8.9761 Å; angles 90.00, 90.73, 90.00 degrees
Last column: nearest neighbours and their distance in Å.
Fractional coordinates of all 13 atoms:
Li (0.1222, 0.0000, 0.2356)  3 Pd 2.48-2.61, 5 Ag 2.64-2.77
Li (0.8778, 0.0000, 0.7644)  3 Pd 2.48-2.61, 5 Ag 2.64-2.77
Ag (0.2512, 0.0000, 0.9478)  2 Li 2.64-2.69, 4 Ag 2.82-2.92, 2 Pd 2.88
Ag (0.2695, 0.5000, 0.4426)  4 Pd 2.71-2.89, 4 Ag 2.76-2.89, 2 Li 2.98
Ag (0.3811, 0.5000, 0.1381)  2 Li 2.77, 6 Ag 2.81-3.04, 2 Pd 2.88-3.05
Ag (0.4328, 0.0000, 0.6557)  1 Li 2.66, 3 Pd 2.78-2.89, 4 Ag 2.82-2.90
Ag (0.5672, 0.0000, 0.3443)  1 Li 2.66, 3 Pd 2.78-2.89, 4 Ag 2.82-2.90
Ag (0.6189, 0.5000, 0.8619)  2 Li 2.77, 6 Ag 2.81-3.04, 2 Pd 2.88-3.05
Ag (0.7305, 0.5000, 0.5574)  4 Pd 2.71-2.89, 4 Ag 2.76-2.89, 2 Li 2.98
Ag (0.7488, 0.0000, 0.0522)  2 Li 2.64-2.69, 4 Ag 2.82-2.92, 2 Pd 2.88
Pd (0.0000, 0.0000, 0.5000)  2 Li 2.48, 4 Ag 2.71
Pd (0.1330, 0.5000, 0.7520)  2 Li 2.61, 7 Ag 2.83-2.89
Pd (0.8670, 0.5000, 0.2480)  2 Li 2.61, 7 Ag 2.83-2.89



Winner for stability: ii



i | Below is an optimized crystal structure of Li2Ag3Pd4, with properties calculated at the GGA-PBE level.

Computed properties:
**Calculated density**: 8.96 g cm⁻³
**Magnetic moment**: 0.000 μB per atom

Cell lengths 6.4088, 6.4088, 6.0820 Å; angles 108.31, 108.31, 36.85 degrees
Last column: nearest neighbours and their distance in Å.
Fractional coordinates of all 9 atoms:
Li (0.1611, 0.1611, 0.0032)  5 Pd 2.69-2.80, 5 Ag 2.77-2.81, 2 Li 2.97
Li (0.8389, 0.8389, 0.9968)  5 Pd 2.69-2.80, 5 Ag 2.77-2.81, 2 Li 2.97
Ag (0.3839, 0.3839, 0.3252)  3 Li 2.77, 2 Ag 2.78-2.92, 7 Pd 2.82-2.92
Ag (0.5000, 0.5000, 0.0000)  6 Pd 2.77-2.78, 2 Ag 2.78, 4 Li 2.81
Ag (0.6161, 0.6161, 0.6748)  3 Li 2.77, 2 Ag 2.78-2.92, 7 Pd 2.82-2.92
Pd (0.0578, 0.0578, 0.3319)  2 Li 2.69-2.76, 6 Ag 2.78-2.92, 4 Pd 2.80-2.86
Pd (0.2779, 0.2779, 0.6756)  3 Li 2.74-2.80, 4 Ag 2.77-2.83, 5 Pd 2.80-2.86
Pd (0.7221, 0.7221, 0.3244)  3 Li 2.74-2.80, 4 Ag 2.77-2.83, 5 Pd 2.80-2.86
Pd (0.9422, 0.9422, 0.6681)  2 Li 2.69-2.76, 6 Ag 2.78-2.92, 4 Pd 2.80-2.86



ii | Below is an optimized crystal structure of Li2Ag3Pd4, with properties calculated at the GGA-PBE level.

Computed properties:
**Calculated density**: 8.94 g cm⁻³
**Magnetic moment**: 0.000 μB per atom

Cell lengths 4.8907, 4.8907, 8.3904 Å; angles 107.91, 107.91, 48.61 degrees
Last column: nearest neighbours and their distance in Å.
Fractional coordinates of all 9 atoms:
Li (0.1638, 0.1638, 0.2146)  7 Pd 2.72-2.88, 5 Ag 2.77-2.87
Li (0.8362, 0.8362, 0.7854)  7 Pd 2.72-2.88, 5 Ag 2.77-2.87
Ag (0.1697, 0.1697, 0.5584)  6 Pd 2.80-2.85, 3 Li 2.82-2.87, 3 Ag 2.83-2.85
Ag (0.5000, 0.5000, 0.0000)  4 Li 2.77, 8 Pd 2.80-2.83
Ag (0.8303, 0.8303, 0.4416)  6 Pd 2.80-2.85, 3 Li 2.82-2.87, 3 Ag 2.83-2.85
Pd (0.1660, 0.1660, 0.8908)  4 Li 2.72-2.84, 4 Pd 2.79, 4 Ag 2.80-2.83
Pd (0.4945, 0.4945, 0.3311)  3 Li 2.78-2.88, 3 Pd 2.79-2.80, 6 Ag 2.80-2.85
Pd (0.5055, 0.5055, 0.6689)  3 Li 2.78-2.88, 3 Pd 2.79-2.80, 6 Ag 2.80-2.85
Pd (0.8340, 0.8340, 0.1092)  4 Li 2.72-2.84, 4 Pd 2.79, 4 Ag 2.80-2.83



Winner for stability: ii



i | Below is an optimized crystal structure of LiAg8Pd6, with properties calculated at the GGA-PBE level.

Computed properties:
**Calculated density**: 9.01 g cm⁻³
**Magnetic moment**: 0.000 μB per atom

Cell lengths 8.0681, 8.0681, 4.9310 Å; angles 90.00, 90.00, 120.00 degrees
Last column: nearest neighbours and their distance in Å.
Fractional coordinates of all 15 atoms:
Li (0.0000, 0.0000, 0.0000)  6 Ag 3.30, 6 Pd 3.32
Ag (0.0125, 0.6850, 0.5856)  4 Pd 2.71-3.00, 5 Ag 2.73-3.01
Ag (0.3150, 0.3274, 0.5856)  4 Pd 2.71-3.00, 5 Ag 2.73-3.01
Ag (0.3274, 0.0125, 0.4144)  4 Pd 2.71-3.00, 5 Ag 2.73-3.01
Ag (0.3333, 0.6667, 0.4034)  6 Ag 2.81, 6 Pd 2.87-3.03
Ag (0.6667, 0.3333, 0.5966)  6 Ag 2.81, 6 Pd 2.87-3.03
Ag (0.6726, 0.9875, 0.5856)  4 Pd 2.71-3.00, 5 Ag 2.73-3.01
Ag (0.6850, 0.6726, 0.4144)  4 Pd 2.71-3.00, 5 Ag 2.73-3.01
Ag (0.9875, 0.3150, 0.4144)  4 Pd 2.71-3.00, 5 Ag 2.73-3.01
Pd (0.1404, 0.4602, 0.9230)  6 Ag 2.71-3.03, 3 Pd 2.75-2.80
Pd (0.3198, 0.8596, 0.9230)  6 Ag 2.71-3.03, 3 Pd 2.75-2.80
Pd (0.4602, 0.3198, 0.0770)  6 Ag 2.71-3.03, 3 Pd 2.75-2.80
Pd (0.5398, 0.6802, 0.9230)  6 Ag 2.71-3.03, 3 Pd 2.75-2.80
Pd (0.6802, 0.1404, 0.0770)  6 Ag 2.71-3.03, 3 Pd 2.75-2.80
Pd (0.8596, 0.5398, 0.0770)  6 Ag 2.71-3.03, 3 Pd 2.75-2.80



ii | Below is an optimized crystal structure of LiAg8Pd6, with properties calculated at the GGA-PBE level.

Computed properties:
**Calculated density**: 9.34 g cm⁻³
**Magnetic moment**: 0.000 μB per atom

Cell lengths 10.4771, 10.4771, 2.8221 Å; angles 90.00, 90.00, 120.00 degrees
Last column: nearest neighbours and their distance in Å.
Fractional coordinates of all 15 atoms:
Li (0.0000, 0.0000, 0.0000)  6 Ag 2.76, 2 Li 2.82
Ag (0.0802, 0.7964, 0.2622)  3 Pd 2.73-2.80, 1 Li 2.76, 6 Ag 2.82-3.04
Ag (0.2036, 0.2838, 0.2622)  3 Pd 2.73-2.80, 1 Li 2.76, 6 Ag 2.82-3.04
Ag (0.2838, 0.0802, 0.7378)  3 Pd 2.73-2.80, 1 Li 2.76, 6 Ag 2.82-3.04
Ag (0.3333, 0.6667, 0.7467)  6 Pd 2.77, 2 Ag 2.82
Ag (0.6667, 0.3333, 0.2533)  6 Pd 2.77, 2 Ag 2.82
Ag (0.7162, 0.9198, 0.2622)  3 Pd 2.73-2.80, 1 Li 2.76, 6 Ag 2.82-3.04
Ag (0.7964, 0.7162, 0.7378)  3 Pd 2.73-2.80, 1 Li 2.76, 6 Ag 2.82-3.04
Ag (0.9198, 0.2036, 0.7378)  3 Pd 2.73-2.80, 1 Li 2.76, 6 Ag 2.82-3.04
Pd (0.0868, 0.4659, 0.2467)  4 Pd 2.66-2.82, 5 Ag 2.73-2.80
Pd (0.3791, 0.9132, 0.2467)  4 Pd 2.66-2.82, 5 Ag 2.73-2.80
Pd (0.4659, 0.3791, 0.7533)  4 Pd 2.66-2.82, 5 Ag 2.73-2.80
Pd (0.5341, 0.6209, 0.2467)  4 Pd 2.66-2.82, 5 Ag 2.73-2.80
Pd (0.6209, 0.0868, 0.7533)  4 Pd 2.66-2.82, 5 Ag 2.73-2.80
Pd (0.9132, 0.5341, 0.7533)  4 Pd 2.66-2.82, 5 Ag 2.73-2.80



Winner for stability: ii



i | Below is an optimized crystal structure of Li4Ag3Pd2, with properties calculated at the GGA-PBE level.

Computed properties:
**Calculated density**: 6.85 g cm⁻³
**Magnetic moment**: 0.000 μB per atom

Cell lengths 4.5331, 4.5331, 8.1915 Å; angles 97.42, 97.42, 55.17 degrees
Last column: nearest neighbours and their distance in Å.
Fractional coordinates of all 9 atoms:
Li (0.0011, 0.0011, 0.1724)  4 Ag 2.67-2.69, 3 Pd 2.68-2.75, 3 Li 2.82-2.97
Li (0.3304, 0.3304, 0.6052)  4 Ag 2.65-2.71, 4 Pd 2.67-2.75, 2 Li 2.90
Li (0.6696, 0.6696, 0.3948)  4 Ag 2.65-2.71, 4 Pd 2.67-2.75, 2 Li 2.90
Li (0.9989, 0.9989, 0.8276)  4 Ag 2.67-2.69, 3 Pd 2.68-2.75, 3 Li 2.82-2.97
Ag (0.0000, 0.0000, 0.5000)  8 Li 2.67-2.71, 4 Pd 2.93
Ag (0.3306, 0.3306, 0.9281)  4 Li 2.65-2.69, 3 Ag 2.80-2.81, 3 Pd 2.88-2.92
Ag (0.6694, 0.6694, 0.0719)  4 Li 2.65-2.69, 3 Ag 2.80-2.81, 3 Pd 2.88-2.92
Pd (0.3408, 0.3408, 0.2809)  7 Li 2.67-2.75, 5 Ag 2.88-2.93
Pd (0.6592, 0.6592, 0.7191)  7 Li 2.67-2.75, 5 Ag 2.88-2.93



ii | Below is an optimized crystal structure of Li4Ag3Pd2, with properties calculated at the GGA-PBE level.

Computed properties:
**Calculated density**: 6.61 g cm⁻³
**Magnetic moment**: 0.000 μB per atom

Cell lengths 6.3836, 6.3836, 6.0833 Å; angles 107.13, 107.13, 37.01 degrees
Last column: nearest neighbours and their distance in Å.
Fractional coordinates of all 9 atoms:
Li (0.0468, 0.0468, 0.3117)  2 Pd 2.70-2.71, 6 Ag 2.71-2.86, 3 Li 2.85-2.95
Li (0.2776, 0.2776, 0.6951)  3 Pd 2.62-2.67, 4 Ag 2.75-2.82
Li (0.7224, 0.7224, 0.3049)  3 Pd 2.62-2.67, 4 Ag 2.75-2.82
Li (0.9532, 0.9532, 0.6883)  2 Pd 2.70-2.71, 6 Ag 2.71-2.86, 3 Li 2.85-2.95
Ag (0.3855, 0.3855, 0.3452)  7 Li 2.79-2.86, 3 Pd 2.81-2.86, 2 Ag 2.83-2.85
Ag (0.5000, 0.5000, 0.0000)  6 Li 2.71-2.75, 2 Ag 2.85, 4 Pd 2.86
Ag (0.6145, 0.6145, 0.6548)  7 Li 2.79-2.86, 3 Pd 2.81-2.86, 2 Ag 2.83-2.85
Pd (0.1672, 0.1672, 0.0041)  5 Li 2.62-2.71, 5 Ag 2.81-2.86, 2 Pd 2.86
Pd (0.8328, 0.8328, 0.9959)  5 Li 2.62-2.71, 5 Ag 2.81-2.86, 2 Pd 2.86



Winner for stability: i